First-principles (PBE) data for a relaxed Lu2ThBi crystal, as listed in the Alexandria database.

The total DFT energy (no corrections) comes out at -5.27 eV per atom. For the density of states at the Fermi level, the calculation gives 13.29 states/eV per cell. The value obtained for the energy relative to the lowest polymorph listed for this composition is 110 meV/atom. As for the volume: 29.82 A^3/atom. The energy of formation from the pure elements is -0.184 eV/atom.

The space group is R-3m (No. 166, hexagonal axes) and the conventional cell measures 3.5798, 3.5798 and 32.2429 Å, with angles of 90.00, 90.00 and 120.00 degrees. The asymmetric unit holds Lu at (0.0000, 0.0000, 0.2469), Th at (0.0000, 0.0000, 0.0000) and Bi at (0.0000, 0.0000, 0.5000).